No. 1
A relaxed structure of Li2Ti3CoO8. Source: the Alexandria database, functional GGA+U.

The value obtained for the density of states at the Fermi level is 4.92 states/eV/f.u. The value obtained for the energy above the most stable polymorph in this dataset is 62 meV per atom. The value obtained for the spin magnetization is 12.00 μB per cell.

a b c (Å): 8.442 8.442 8.442
angles (deg): 90.00 90.00 90.00
Space group P4_332 (No. 212)
Unique sites:
Li (0.002, 0.498, 0.502)
Ti (0.121, 0.625, 0.129)
Co (0.125, 0.875, 0.375)
O (0.108, 0.123, 0.390)
O (0.111, 0.611, 0.889)

No. 2
A relaxed structure of Li3TiCo3O8. Source: the Alexandria database, functional GGA+U.

The value obtained for the density of states at the Fermi level is 0.00 states/eV/f.u. The value obtained for the energy above the most stable polymorph in this dataset is 0 meV per atom. The value obtained for the spin magnetization is 0.00 μB per cell.

a b c (Å): 5.7278 5.7278 9.1647
angles (deg): 90.00 90.00 120.00
Space group P6_3mc (No. 186)
Unique sites:
Li (0.1711, 0.3423, 0.0000)
Ti (0.3333, 0.6667, 0.4412)
Co (0.1689, 0.3378, 0.7273)
O (0.0000, 0.0000, 0.1227)
O (0.0365, 0.5183, 0.6039)
O (0.1622, 0.3245, 0.3477)
O (0.3333, 0.6667, 0.8378)

- Which of these has the highest spin magnetization?
  Li2Ti3CoO8